# Tb2CuSi

Crystalline Tb2CuSi at its relaxed geometry (GGA-PBE, the Alexandria database).

Summary:
- D(E_F) (states/eV/f.u.) = 4.293
- formation energy without anion corrections (eV per atom) = -0.5196
- total magnetization (Bohr magnetons per cell) = 0.00

Structure (POSCAR):
```
Tb2CuSi
1.0
4.106 0.000 0.000
0.000 5.869 0.063
0.000 -2.846 7.377
Tb Si Cu
4 2 2
Direct
0.250 0.790 0.086 Tb
0.750 0.210 0.914 Tb
0.250 0.781 0.559 Tb
0.750 0.219 0.441 Tb
0.750 0.657 0.790 Si
0.250 0.343 0.210 Si
0.750 0.611 0.277 Cu
0.250 0.389 0.723 Cu
```

# BaMgTe2

Crystalline BaMgTe2 at its relaxed geometry (GGA-PBE, the Alexandria database).

Summary:
- D(E_F) (states/eV/f.u.) = 4.880
- formation energy without anion corrections (eV per atom) = -0.5333
- total magnetization (Bohr magnetons per cell) = 0.11

Structure (POSCAR):
```
BaMgTe2
1.0
2.561 0.000 9.702
-1.281 2.218 9.702
-1.281 -2.218 9.702
Mg Te Ba
1 2 1
Direct
0.500 0.500 0.500 Mg
0.887 0.887 0.887 Te
0.113 0.113 0.113 Te
0.000 0.000 0.000 Ba
```

# DyZn11Cr

Crystalline DyZn11Cr at its relaxed geometry (GGA-PBE, the Alexandria database).

Summary:
- D(E_F) (states/eV/f.u.) = 4.577
- formation energy (eV per atom) = -0.110
- total magnetization (Bohr magnetons per cell) = 3.26

Structure (POSCAR):
```
DyZn11Cr
1.0
-2.949 -0.040 4.378
-6.648 0.832 -1.221
-2.158 -6.235 1.672
Dy Zn Cr
1 11 1
Direct
0.000 0.000 0.000 Dy
0.985 0.353 0.651 Zn
0.636 0.353 0.349 Zn
0.000 0.500 0.000 Zn
0.284 0.217 0.218 Zn
0.015 0.647 0.349 Zn
0.500 0.000 0.500 Zn
0.716 0.783 0.782 Zn
0.364 0.647 0.651 Zn
0.497 0.783 0.218 Zn
0.503 0.217 0.782 Zn
0.000 0.000 0.500 Zn
0.500 0.500 0.000 Cr
```

# PuBeAl2Au5

Crystalline PuBeAl2Au5 at its relaxed geometry (GGA-PBE, the Alexandria database).

Summary:
- D(E_F) (states/eV/f.u.) = 18.539
- formation energy (eV per atom) = -0.231
- total magnetization (Bohr magnetons per cell) = 5.66

Structure (POSCAR):
```
PuBeAl2Au5
1.0
4.481 0.000 0.000
0.000 6.048 0.000
-2.240 -3.024 6.551
Au Pu Al Be
5 1 2 1
Direct
0.352 0.107 0.705 Au
0.352 0.598 0.705 Au
0.648 0.402 0.295 Au
0.648 0.893 0.295 Au
0.000 0.000 0.000 Au
0.000 0.500 0.000 Pu
0.194 0.194 0.389 Al
0.806 0.806 0.611 Al
0.500 0.000 0.000 Be
```

# BaLi2As

Crystalline BaLi2As at its relaxed geometry (GGA-PBE, the Alexandria database).

Summary:
- D(E_F) (states/eV/f.u.) = 1.584
- formation energy (eV per atom) = -0.350
- total magnetization (Bohr magnetons per cell) = 0.00

Structure (POSCAR):
```
BaLi2As
1.0
-1.862 -4.188 0.931
1.788 0.166 4.320
-2.325 2.363 5.975
Li Ba As
2 1 1
Direct
0.500 0.500 0.000 Li
0.000 0.000 0.000 Li
0.000 0.000 0.500 Ba
0.500 0.500 0.500 As
```

# Ge7PbN10

Crystalline Ge7PbN10 at its relaxed geometry (GGA-PBE, the Alexandria database).

Summary:
- D(E_F) (states/eV/f.u.) = 0.000
- formation energy without anion corrections (eV per atom) = 0.0414
- total magnetization (Bohr magnetons per cell) = 0.00

Structure (POSCAR):
```
Ge7PbN10
1.0
7.324 0.000 0.000
0.000 7.132 0.000
-2.779 0.000 9.966
Ge N Pb
14 20 2
Direct
0.853 0.627 0.813 Ge
0.297 0.619 0.888 Ge
0.297 0.381 0.388 Ge
0.542 0.971 0.828 Ge
0.666 0.369 0.995 Ge
0.110 0.396 0.080 Ge
0.354 0.973 0.519 Ge
0.487 0.370 0.692 Ge
0.487 0.630 0.192 Ge
0.542 0.029 0.328 Ge
0.354 0.027 0.019 Ge
0.110 0.604 0.580 Ge
0.853 0.373 0.313 Ge
0.666 0.631 0.495 Ge
0.885 0.375 0.135 N
0.574 0.128 0.980 N
0.491 0.531 0.028 N
0.144 0.843 0.525 N
0.285 0.499 0.728 N
0.574 0.872 0.480 N
0.080 0.414 0.446 N
0.323 0.128 0.368 N
0.144 0.157 0.025 N
0.704 0.419 0.828 N
0.323 0.872 0.868 N
0.491 0.469 0.528 N
0.080 0.586 0.946 N
0.285 0.501 0.228 N
0.453 0.885 0.175 N
0.453 0.115 0.675 N
0.770 0.146 0.356 N
0.704 0.581 0.328 N
0.770 0.854 0.856 N
0.885 0.625 0.635 N
0.923 0.950 0.088 Pb
0.923 0.050 0.588 Pb
```

# K3Sb4Au

Crystalline K3Sb4Au at its relaxed geometry (GGA-PBE, the Alexandria database).

Summary:
- D(E_F) (states/eV/f.u.) = 5.066
- formation energy without anion corrections (eV per atom) = -0.2390
- total magnetization (Bohr magnetons per cell) = 0.00

Structure (POSCAR):
```
K3Sb4Au
1.0
6.277 0.000 0.000
0.000 6.710 0.000
0.000 0.000 13.225
K Au Sb
6 2 8
Direct
0.168 0.000 0.247 K
0.832 0.500 0.747 K
0.555 0.000 0.000 K
0.445 0.500 0.500 K
0.168 0.000 0.753 K
0.832 0.500 0.253 K
0.682 0.500 0.000 Au
0.318 0.000 0.500 Au
0.052 0.748 0.000 Sb
0.948 0.248 0.500 Sb
0.661 0.000 0.640 Sb
0.339 0.500 0.860 Sb
0.052 0.252 0.000 Sb
0.948 0.752 0.500 Sb
0.661 0.000 0.360 Sb
0.339 0.500 0.140 Sb
```

# ReAs3Au

Crystalline ReAs3Au at its relaxed geometry (GGA-PBE, the Alexandria database).

Summary:
- D(E_F) (states/eV/f.u.) = 5.341
- formation energy (eV per atom) = 0.676
- excess energy over the best structure of this formula in the dataset (eV per atom) = 0.000
- total magnetization (Bohr magnetons per cell) = 0.00

Structure (POSCAR):
```
ReAs3Au
1.0
-0.076 -4.485 -1.779
2.501 -1.558 3.821
-4.126 -0.862 2.349
As Au Re
3 1 1
Direct
0.000 0.000 0.500 As
0.000 0.500 0.000 As
0.500 0.000 0.000 As
0.500 0.500 0.500 Au
0.000 0.000 0.000 Re
```

# SrEuInPd

Crystalline SrEuInPd at its relaxed geometry (GGA-PBE, the Alexandria database).

Summary:
- D(E_F) (states/eV/f.u.) = 11.514
- formation energy (eV per atom) = -0.414
- total magnetization (Bohr magnetons per cell) = 7.08

Structure (POSCAR):
```
SrEuInPd
1.0
-1.373 -5.007 1.632
-0.417 -4.028 -3.636
3.696 -3.994 -0.072
Sr Pd Eu In
1 1 1 1
Direct
0.750 0.750 0.750 Sr
0.000 0.000 0.000 Pd
0.250 0.250 0.250 Eu
0.500 0.500 0.500 In
```

# MnNi2Br

Crystalline MnNi2Br at its relaxed geometry (GGA-PBE, the Alexandria database).

Summary:
- D(E_F) (states/eV/f.u.) = 2.412
- formation energy without anion corrections (eV per atom) = 0.2569
- excess energy over the best structure of this formula in the dataset (eV per atom) = 0.037
- total magnetization (Bohr magnetons per cell) = 5.58

Structure (POSCAR):
```
MnNi2Br
1.0
-1.793 0.587 2.524
-2.598 -0.024 -1.840
-1.957 -6.228 0.057
Mn Ni Br
1 2 1
Direct
0.500 0.667 0.795 Mn
0.000 0.054 0.018 Ni
0.500 0.473 0.177 Ni
0.000 0.306 0.510 Br
```

# AsS2I

Crystalline AsS2I at its relaxed geometry (GGA-PBE, the Alexandria database).

Summary:
- D(E_F) (states/eV/f.u.) = 0.000
- formation energy without anion corrections (eV per atom) = 0.5687
- excess energy over the best structure of this formula in the dataset (eV per atom) = 0.451
- total magnetization (Bohr magnetons per cell) = 0.00

Structure (POSCAR):
```
AsS2I
1.0
2.440 0.000 8.577
-1.220 2.113 8.577
-1.220 -2.113 8.577
I S As
1 2 1
Direct
0.500 0.500 0.500 I
0.920 0.920 0.920 S
0.080 0.080 0.080 S
0.000 0.000 0.000 As
```

# Th3Cu

Crystalline Th3Cu at its relaxed geometry (GGA-PBE, the Alexandria database).

Summary:
- D(E_F) (states/eV/f.u.) = 4.387
- formation energy (eV per atom) = 0.022
- total magnetization (Bohr magnetons per cell) = 0.00

Structure (POSCAR):
```
Th3Cu
1.0
3.577 0.000 0.000
0.000 5.862 0.000
-1.788 -2.931 5.302
Th Cu
3 1
Direct
0.500 0.425 0.000 Th
0.288 0.653 0.575 Th
0.712 0.078 0.425 Th
0.000 0.011 0.000 Cu
```

# Ho5ZnIn4

Crystalline Ho5ZnIn4 at its relaxed geometry (GGA-PBE, the Alexandria database).

Summary:
- D(E_F) (states/eV/f.u.) = 6.985
- formation energy (eV per atom) = -0.444
- total magnetization (Bohr magnetons per cell) = 0.00

Structure (POSCAR):
```
Ho5ZnIn4
1.0
-2.719 2.004 -1.215
-1.778 -2.976 -0.929
-8.409 -0.560 17.889
In Ho Zn
4 5 1
Direct
0.000 0.000 0.811 In
0.000 0.000 0.189 In
0.000 0.000 0.604 In
0.000 0.000 0.396 In
0.500 0.500 0.292 Ho
0.500 0.500 0.087 Ho
0.500 0.500 0.708 Ho
0.500 0.500 0.500 Ho
0.500 0.500 0.913 Ho
0.000 0.000 0.000 Zn
```

# CsRbTiSe3

Crystalline CsRbTiSe3 at its relaxed geometry (GGA-PBE, the Alexandria database).

Summary:
- formation energy without anion corrections (eV per atom) = -1.2245
- total magnetization (Bohr magnetons per cell) = 0.00

Structure (POSCAR):
```
CsRbTiSe3
1.0
-2.539 -6.012 2.689
-3.430 -3.493 -6.388
5.079 -5.363 -4.864
Se Ti Rb Cs
6 2 2 2
Direct
0.000 0.761 0.076 Se
0.500 0.837 0.924 Se
0.250 0.804 0.392 Se
0.750 0.196 0.608 Se
0.500 0.163 0.076 Se
0.000 0.239 0.924 Se
0.250 0.955 0.089 Ti
0.750 0.045 0.911 Ti
0.750 0.408 0.183 Rb
0.250 0.592 0.817 Rb
0.750 0.762 0.476 Cs
0.250 0.238 0.524 Cs
```